[1]
Below is an optimized crystal structure of K2Rb6F, with properties calculated at the GGA-PBE level. Values from VASP.

Quantum ESPRESSO input file:
```
&SYSTEM
  ibrav = 0, nat = 9, ntyp = 3
/
ATOMIC_SPECIES
K 39.10 K.upf
Rb 85.47 Rb.upf
F 19.00 F.upf
ATOMIC_POSITIONS crystal
K 0.0000 0.0000 0.0000
K 0.1756 0.1756 0.1756
Rb 0.0275 0.5206 0.5206
Rb 0.1726 0.7155 0.7155
Rb 0.5206 0.0275 0.5206
Rb 0.5206 0.5206 0.0275
Rb 0.7155 0.1726 0.7155
Rb 0.7155 0.7155 0.1726
F 0.9017 0.9017 0.9017
CELL_PARAMETERS angstrom
4.8231 2.7846 8.6049
-4.8231 2.7846 8.6049
0.0000 -5.5692 8.6049
```

- Space-group type: No. 160
- Formation energy (no corrections): -0.542 eV/atom

[2]
Below is an optimized crystal structure of InPtRh2, with properties calculated at the GGA-PBE level. Values from VASP.

Quantum ESPRESSO input file:
```
&SYSTEM
  ibrav = 0, nat = 4, ntyp = 3
/
ATOMIC_SPECIES
In 114.82 In.upf
Pt 195.08 Pt.upf
Rh 102.91 Rh.upf
ATOMIC_POSITIONS crystal
In 0.0000 0.0000 0.0000
Pt 0.5000 0.5000 0.0000
Rh 0.0000 0.5000 0.5000
Rh 0.5000 0.0000 0.5000
CELL_PARAMETERS angstrom
2.9025 -3.7732 0.0000
2.9025 3.7732 0.0000
0.0000 0.0000 2.8951
```

- Space-group type: No. 65
- DFT formation energy: -0.2020 eV per atom